{
  "formula": "Mn2NiPdAu",
  "functional": "SCAN",
  "state": "single point on PBEsol structure",
  "lattice": [[4.7426, 0.0000, 0.0000], [0.0000, 4.7426, 0.0000], [0.0000, 0.0000, 4.8842]],
  "species": ["Ni", "Mn", "Mn", "Au", "Pd"],
  "fractional_positions": [[0.5000, 0.5000, 0.5000], [0.0000, 0.5000, 0.0000], [0.5000, 0.0000, 0.0000], [0.0000, 0.0000, 0.0000], [0.0000, 0.0000, 0.5000]],
  "total_energy_ev_per_atom": -30.002,
  "sg": "No. 123",
  "formation_enthalpy_0k_ev_per_atom": 0.921
}

---

{
  "formula": "BIr",
  "functional": "SCAN",
  "state": "single point on PBEsol structure",
  "lattice": [[-2.2761, 0.8478, 1.1847], [-1.4815, -2.3676, -1.1519], [1.3266, -0.2189, 2.7055]],
  "species": ["B", "Ir"],
  "fractional_positions": [[0.5000, 0.0000, 0.0000], [0.0000, 0.3333, 0.6667]],
  "total_energy_ev_per_atom": -39.493,
  "sg": "No. 187",
  "formation_enthalpy_0k_ev_per_atom": -0.228
}

---

{
  "formula": "Cs2AuF",
  "functional": "SCAN",
  "state": "single point on PBEsol structure",
  "lattice": [[5.6012, 0.0000, 0.0000], [2.8006, 4.8508, 0.0000], [2.8006, 1.6169, 4.5734]],
  "species": ["Cs", "Cs", "Au", "F"],
  "fractional_positions": [[0.2500, 0.2500, 0.2500], [0.7500, 0.7500, 0.7500], [0.5000, 0.5000, 0.5000], [0.0000, 0.0000, 0.0000]],
  "total_energy_ev_per_atom": -38.532,
  "formation_energy_uncorrected_kj_per_mol_atoms": -140.1,
  "sg": "No. 225",
  "de_polymorph_mev_per_atom": 97
}

---

{
  "formula": "Cs2VCl6",
  "functional": "SCAN",
  "state": "single point on PBEsol structure",
  "lattice": [[-5.1374, 1.1972, 4.8280], [-6.5898, -2.5573, -1.0822], [-2.4521, -5.3810, 4.0209]],
  "species": ["Cs", "Cs", "V", "Cl", "Cl", "Cl", "Cl", "Cl", "Cl"],
  "fractional_positions": [[0.2500, 0.2500, 0.2500], [0.7500, 0.7500, 0.7500], [0.0000, 0.0000, 0.0000], [0.7723, 0.2277, 0.2277], [0.2277, 0.7723, 0.7723], [0.7723, 0.2277, 0.7723], [0.2277, 0.7723, 0.2277], [0.7723, 0.7723, 0.2277], [0.2277, 0.2277, 0.7723]],
  "total_energy_ev_per_atom": -17.467,
  "formation_energy_uncorrected_kj_per_mol_atoms": -173.9,
  "sg": "No. 225"
}

---

{
  "formula": "MgTiCu2H",
  "functional": "SCAN",
  "state": "single point on PBEsol structure",
  "lattice": [[4.5668, 0.0000, 0.0000], [0.0000, 4.5668, 0.0000], [0.0000, 0.0000, 5.5604]],
  "species": ["H", "Mg", "Cu", "Cu", "Ti"],
  "fractional_positions": [[0.5000, 0.5000, 0.5000], [0.0000, 0.0000, 0.5000], [0.0000, 0.5000, 0.0000], [0.5000, 0.0000, 0.0000], [0.0000, 0.0000, 0.0000]],
  "total_energy_ev_per_atom": -9.329,
  "sg": "No. 123"
}

---

{
  "formula": "GdZnAsO",
  "functional": "SCAN",
  "state": "single point on PBEsol structure",
  "lattice": [[-3.5577, -1.1349, -1.2481], [0.8853, -3.7358, 0.8733], [-3.2062, 1.1352, 8.1068]],
  "species": ["As", "As", "Gd", "Gd", "Zn", "Zn", "O", "O"],
  "fractional_positions": [[0.0000, 0.5000, 0.8176], [0.5000, 0.0000, 0.1824], [0.5000, 0.0000, 0.6280], [0.0000, 0.5000, 0.3720], [0.5000, 0.5000, 0.0000], [0.0000, 0.0000, 0.0000], [0.5000, 0.5000, 0.5000], [0.0000, 0.0000, 0.5000]],
  "total_energy_ev_per_atom": -26.650,
  "formation_energy_uncorrected_kj_per_mol_atoms": -189.3,
  "sg": "No. 129"
}